Here is a geometry-optimized Ba2TcOs structure from the Alexandria database. Energies are from PBE-GGA.

Summary:
E = -5.463 eV per atom
Mass density = 5.54 g/cm³
Excess energy over the best structure of this formula in the dataset = 637 meV per atom
Crystal system = tetragonal
ΔE_f = 897 meV/atom
Calculated volume = 42.18 Å³/atom

a = 11.973 Å, b = 11.973 Å, c = 8.788 Å
α = 47.06°, β = 47.06°, γ = 90.00°
Atoms (fractional coordinates):
Os 0.000 0.000 0.000
Os 0.750 0.250 0.500
Ba 0.949 0.625 0.250
Tc 0.250 0.750 0.500
Ba 0.875 0.051 0.750
Tc 0.500 0.500 0.000
Ba 0.375 0.199 0.750
Ba 0.801 0.125 0.250



Here is a geometry-optimized Ba2TcOs structure from the Alexandria database. Energies are from PBE-GGA.

Summary:
E = -4.997 eV per atom
Mass density = 9.34 g/cm³
Excess energy over the best structure of this formula in the dataset = 1103 meV per atom
Crystal system = cubic
ΔE_f = 1363 meV/atom
Calculated volume = 25.02 Å³/atom

a = 5.211 Å, b = 5.211 Å, c = 5.211 Å
α = 120.00°, β = 120.00°, γ = 90.01°
Atoms (fractional coordinates):
Os 0.500 0.500 0.000
Tc 0.750 0.250 0.500
Ba 0.000 0.000 0.000
Ba 0.250 0.750 0.500



Here is a geometry-optimized BaTcOs4 structure from the Alexandria database. Energies are from PBE-GGA.

Summary:
E = -8.482 eV per atom
Mass density = 15.24 g/cm³
Crystal system = cubic
ΔE_f = 1053 meV/atom
Calculated volume = 18.09 Å³/atom

a = 5.354 Å, b = 5.354 Å, c = 5.354 Å
α = 60.00°, β = 60.00°, γ = 60.00°
Atoms (fractional coordinates):
Os 0.376 0.376 0.376
Os 0.376 0.376 0.872
Ba 0.000 0.000 0.000
Tc 0.750 0.750 0.750
Os 0.872 0.376 0.376
Os 0.376 0.872 0.376



Here is a geometry-optimized Ba2TcOs structure from the Alexandria database. Energies are from PBE-GGA.

Summary:
E = -5.763 eV per atom
Mass density = 7.34 g/cm³
Excess energy over the best structure of this formula in the dataset = 337 meV per atom
Crystal system = monoclinic
ΔE_f = 597 meV/atom
Calculated volume = 31.84 Å³/atom

a = 10.190 Å, b = 10.190 Å, c = 3.670 Å
α = 74.45°, β = 74.45°, γ = 20.33°
Atoms (fractional coordinates):
Ba 0.107 0.107 0.960
Tc 0.250 0.250 0.250
Ba 0.393 0.393 0.540
Os 0.750 0.750 0.750



Here is a geometry-optimized BaTcOsW2 structure from the Alexandria database. Energies are from PBE-GGA.

Summary:
E = -7.636 eV per atom
Mass density = 9.97 g/cm³
Crystal system = tetragonal
ΔE_f = 2249 meV/atom
Calculated volume = 26.42 Å³/atom

a = 4.802 Å, b = 5.727 Å, c = 4.802 Å
α = 90.00°, β = 90.00°, γ = 90.00°
Atoms (fractional coordinates):
W 0.000 0.000 0.500
Ba 0.000 0.500 0.000
W 0.500 0.000 0.000
Os 0.000 0.000 0.000
Tc 0.500 0.500 0.500



Here is a geometry-optimized BaZn2TcOs structure from the Alexandria database. Energies are from PBE-GGA.

Summary:
E = -3.616 eV per atom
Mass density = 6.94 g/cm³
Crystal system = tetragonal
ΔE_f = 1597 meV/atom
Calculated volume = 26.64 Å³/atom

a = 4.906 Å, b = 5.533 Å, c = 4.906 Å
α = 90.00°, β = 90.00°, γ = 90.00°
Atoms (fractional coordinates):
Ba 0.000 0.500 0.000
Tc 0.000 0.000 0.000
Zn 0.500 0.000 0.000
Os 0.500 0.500 0.500
Zn 0.000 0.000 0.500



Here is a geometry-optimized BaTe3Os structure from the Alexandria database. Energies are from PBE-GGA.

Summary:
E = -4.675 eV per atom
ΔE_f (raw) = -77 kJ/mol of formula units
Mass density = 7.40 g/cm³
Excess energy over the best structure of this formula in the dataset = 0 meV per atom
Crystal system = cubic
Calculated volume = 31.89 Å³/atom

a = 5.422 Å, b = 5.422 Å, c = 5.422 Å
α = 90.00°, β = 90.00°, γ = 90.00°
Atoms (fractional coordinates):
Ba 0.500 0.500 0.500
Te 0.500 0.000 0.000
Os 0.000 0.000 0.000
Te 0.000 0.000 0.500
Te 0.000 0.500 0.000



Here is a geometry-optimized BaTeOs2 structure from the Alexandria database. Energies are from PBE-GGA.

Summary:
E = -6.356 eV per atom
ΔE_f (raw) = 203 kJ/mol of formula units
Mass density = 11.41 g/cm³
Crystal system = orthorhombic
Calculated volume = 23.48 Å³/atom

a = 3.023 Å, b = 3.846 Å, c = 8.077 Å
α = 90.00°, β = 90.00°, γ = 90.00°
Atoms (fractional coordinates):
Te 0.000 0.000 0.440
Os 0.000 0.000 0.079
Ba 0.500 0.500 0.783
Os 0.500 0.500 0.198



Here is a geometry-optimized BaTeOs3 structure from the Alexandria database. Energies are from PBE-GGA.

Summary:
E = -6.044 eV per atom
ΔE_f (raw) = 823 kJ/mol of formula units
Mass density = 11.36 g/cm³
Excess energy over the best structure of this formula in the dataset = 0 meV per atom
Crystal system = cubic
Calculated volume = 24.44 Å³/atom

a = 4.962 Å, b = 4.962 Å, c = 4.962 Å
α = 90.00°, β = 90.00°, γ = 90.00°
Atoms (fractional coordinates):
Os 0.000 0.500 0.000
Te 0.000 0.000 0.000
Ba 0.500 0.500 0.500
Os 0.000 0.000 0.500
Os 0.500 0.000 0.000



Here is a geometry-optimized BaTeOs4 structure from the Alexandria database. Energies are from PBE-GGA.

Summary:
E = -7.356 eV per atom
ΔE_f (raw) = 564 kJ/mol of formula units
Mass density = 14.58 g/cm³
Crystal system = cubic
Calculated volume = 19.47 Å³/atom

a = 5.487 Å, b = 5.487 Å, c = 5.487 Å
α = 60.00°, β = 60.00°, γ = 60.00°
Atoms (fractional coordinates):
Ba 0.000 0.000 0.000
Os 0.376 0.376 0.871
Os 0.871 0.376 0.376
Os 0.376 0.376 0.376
Os 0.376 0.871 0.376
Te 0.750 0.750 0.750



Here is a geometry-optimized BaTe3Os structure from the Alexandria database. Energies are from PBE-GGA.

Summary:
E = -2.846 eV per atom
ΔE_f (raw) = 805 kJ/mol of formula units
Mass density = 4.33 g/cm³
Excess energy over the best structure of this formula in the dataset = 1828 meV per atom
Crystal system = cubic
Calculated volume = 54.49 Å³/atom

a = 6.483 Å, b = 6.483 Å, c = 6.483 Å
α = 90.00°, β = 90.00°, γ = 90.00°
Atoms (fractional coordinates):
Ba 0.000 0.000 0.000
Te 0.500 0.000 0.000
Te 0.000 0.000 0.500
Os 0.500 0.500 0.500
Te 0.000 0.500 0.000



Here is a geometry-optimized BaTeOs2 structure from the Alexandria database. Energies are from PBE-GGA.

Summary:
E = -5.729 eV per atom
ΔE_f (raw) = 445 kJ/mol of formula units
Mass density = 12.20 g/cm³
Crystal system = orthorhombic
Calculated volume = 21.96 Å³/atom

a = 5.978 Å, b = 5.978 Å, c = 5.978 Å
α = 149.38°, β = 125.37°, γ = 63.93°
Atoms (fractional coordinates):
Te 0.750 0.250 0.500
Os 0.529 0.529 0.000
Os 0.971 0.971 0.000
Ba 0.250 0.750 0.500